# Zr3Pb

A relaxed structure of Zr3Pb (PBE, OQMD).

energy = -7.481 eV per atom
total moment = 0.000 μB/atom
space group = No. 59

Cell lengths 5.729, 6.180, 5.221 Å; angles 90.00, 90.00, 90.00 degrees
Sites, in units of the cell vectors:
1 Pb 0.006 0.000 0.000
2 Pb 0.327 0.500 0.500
3 Zr 0.518 0.250 0.000
4 Zr 0.021 0.500 0.000
5 Zr 0.518 0.750 0.000
6 Zr 0.313 0.000 0.500
7 Zr 0.815 0.250 0.500
8 Zr 0.815 0.750 0.500

=====

# Zr2Pb

A relaxed structure of Zr2Pb (PBE, OQMD).

energy = -7.016 eV per atom
total moment = 0.005 μB/atom
space group = No. 189

Cell lengths 5.685, 5.685, 5.059 Å; angles 90.00, 90.00, 60.00 degrees
Sites, in units of the cell vectors:
1 Pb 0.000 0.000 0.000
2 Pb 0.333 0.333 0.000
3 Zr 0.667 0.667 0.000
4 Zr 0.667 0.008 0.500
5 Zr 0.008 0.326 0.500
6 Zr 0.326 0.667 0.500

=====

# Zr2Pb

A relaxed structure of Zr2Pb (PBE, OQMD).

energy = -6.952 eV per atom
total moment = 0.002 μB/atom
space group = No. 59

Cell lengths 16.785, 3.176, 5.560 Å; angles 90.00, 90.00, 90.00 degrees
Sites, in units of the cell vectors:
1 Pb 0.669 0.000 0.000
2 Pb 0.168 0.500 0.000
3 Pb 0.776 0.000 0.500
4 Pb 0.275 0.500 0.500
5 Zr 0.003 0.000 0.000
6 Zr 0.343 0.000 0.000
7 Zr 0.503 0.500 0.000
8 Zr 0.844 0.500 0.000
9 Zr 0.101 0.000 0.500
10 Zr 0.441 0.000 0.500
11 Zr 0.601 0.500 0.500
12 Zr 0.941 0.500 0.500

=====

- Among the records above, which one has the highest energy?
  number 3

=====

- What is the energy in the first record?
  -7.481 eV per atom

=====

- Which of these has the highest energy?
  number 3

=====

- Number 2 is which compound?
  Zr2Pb